Density functional theory data (PBE) for an optimized crystal structure of Zr2Mn.

a b c (Å): 8.0740 8.0740 8.0740
angles (deg): 90.00 90.00 90.00
With the nearest neighbours (Å) after each atom.
Space group Fd-3m (No. 227, origin choice 2)
Unique sites:
Zr (0.0000, 0.0000, 0.0000) x16  6 Zr 2.85
Mn (0.1250, 0.1250, 0.6250) x8  12 Zr 3.35, 4 Mn 3.50

***

Density functional theory data (PBE) for an optimized crystal structure of Zr3Mn2.

a b c (Å): 4.5504 4.5504 5.3364
angles (deg): 90.00 90.00 120.00
With the nearest neighbours (Å) after each atom.
Space group P-3m1 (No. 164)
Unique sites:
Zr (0.0000, 0.0000, 0.0000) x1  6 Mn 2.74
Zr (0.3333, 0.6667, 0.3444) x2  5 Mn 2.62-2.83
Mn (0.3333, 0.6667, 0.8535) x2  8 Zr 2.62-2.83

***

In order of appearance, calculated volume = 21.9; 19.1 Å³/atom.
In order of appearance, calculated formation energy = 648; 141 meV per atom.
In order of appearance, total magnetization = 1.250; 0.384 μB per atom.